Entry 1:
Y2SiTe | PBE | relaxed

Values from the calculation:
Polymorph energy (0 for the lowest one) in eV/atom: 1.004
E_form (uncorrected) in eV/atom: -0.12

a b c (Å): 5.180 5.180 5.180
angles (deg): 60.00 60.00 60.00
Fractional coordinates of all 4 atoms:
1 Y 0.000 0.000 0.000
2 Y 0.250 0.250 0.250
3 Si 0.500 0.500 0.500
4 Te 0.750 0.750 0.750


Entry 2:
La2PPb | PBE | relaxed

Values from the calculation:
Polymorph energy (0 for the lowest one) in eV/atom: 0.346
ΔE_f in meV/atom: -711

a b c (Å): 5.275 5.275 5.275
angles (deg): 113.36 113.36 101.94
Fractional coordinates of all 4 atoms:
1 La 0.250 0.750 0.500
2 La 0.750 0.250 0.500
3 P 0.000 0.000 0.000
4 Pb 0.500 0.500 0.000


Entry 3:
Cs2Te2S3 | PBE | relaxed

Values from the calculation:
E_form (uncorrected) in eV/atom: -0.47

a b c (Å): 8.701 8.701 6.689
angles (deg): 108.39 108.39 36.63
Fractional coordinates of all 7 atoms:
1 Cs 0.106 0.106 0.326
2 Cs 0.894 0.894 0.674
3 Te 0.340 0.340 0.214
4 Te 0.660 0.660 0.786
5 S 0.287 0.287 0.843
6 S 0.500 0.500 0.500
7 S 0.713 0.713 0.157


Entry 4:
TlRe2Au | PBE | relaxed

Values from the calculation:
Polymorph energy (0 for the lowest one) in eV/atom: 0.646
ΔE_f in meV/atom: 1050

a b c (Å): 5.221 5.221 5.221
angles (deg): 135.27 135.27 65.10
Fractional coordinates of all 4 atoms:
1 Tl 0.000 0.000 0.000
2 Re 0.250 0.750 0.500
3 Re 0.750 0.250 0.500
4 Au 0.500 0.500 0.000


Entry 5:
KAs2H2 | PBE | relaxed

Values from the calculation:
Total energy in eV/f.u.: -17.84

a b c (Å): 4.350 4.640 5.801
angles (deg): 113.49 97.35 90.10
Fractional coordinates of all 5 atoms:
1 K 0.000 0.000 0.000
2 As 0.462 0.693 0.387
3 As 0.538 0.307 0.613
4 H 0.190 0.323 0.648
5 H 0.810 0.677 0.352


Entry 6:
TcHg2Te | PBE | relaxed

Values from the calculation:
E_form (uncorrected) in eV/atom: 0.62

a b c (Å): 11.196 11.196 11.196
angles (deg): 15.83 15.83 15.83
Fractional coordinates of all 4 atoms:
1 Tc 0.000 0.000 0.000
2 Hg 0.265 0.265 0.265
3 Hg 0.735 0.735 0.735
4 Te 0.500 0.500 0.500


Entry 7:
SrAuSN2 | PBE | relaxed

Values from the calculation:
Polymorph energy (0 for the lowest one) in eV/atom: 0.000
E_form (uncorrected) in eV/atom: 0.68

a b c (Å): 4.207 4.207 5.216
angles (deg): 90.00 90.00 90.00
Fractional coordinates of all 5 atoms:
1 Sr 0.000 0.000 0.000
2 Au 0.500 0.500 0.500
3 S 0.500 0.500 0.000
4 N 0.000 0.500 0.500
5 N 0.500 0.000 0.500


Entry 8:
DyNbIO4 | PBE | relaxed

Values from the calculation:
E_form (uncorrected) in eV/atom: -2.49

a b c (Å): 7.112 7.112 6.965
angles (deg): 103.47 103.47 54.12
Fractional coordinates of all 14 atoms:
1 Dy 0.208 0.208 0.341
2 Dy 0.792 0.792 0.659
3 Nb 0.123 0.123 0.745
4 Nb 0.877 0.877 0.255
5 I 0.467 0.467 0.801
6 I 0.533 0.533 0.199
7 O 0.029 0.029 0.308
8 O 0.040 0.597 0.378
9 O 0.181 0.181 0.017
10 O 0.403 0.960 0.622
11 O 0.597 0.040 0.378
12 O 0.819 0.819 0.983
13 O 0.960 0.403 0.622
14 O 0.971 0.971 0.692


Entry 9:
MgTlCl | PBE | relaxed

Values from the calculation:
Polymorph energy (0 for the lowest one) in eV/atom: 0.043
E_form (uncorrected) in eV/atom: -0.73

a b c (Å): 3.543 3.543 8.150
angles (deg): 90.00 90.00 120.00
Fractional coordinates of all 3 atoms:
1 Mg 0.000 0.000 0.000
2 Tl 0.667 0.333 0.324
3 Cl 0.333 0.667 0.819


Entry 10:
MnBe6Co | PBE | relaxed

Values from the calculation:
ΔE_f in meV/atom: 109

a b c (Å): 4.170 4.170 4.170
angles (deg): 90.00 90.00 90.00
Fractional coordinates of all 8 atoms:
1 Mn 0.000 0.000 0.000
2 Be 0.000 0.253 0.500
3 Be 0.000 0.747 0.500
4 Be 0.253 0.500 0.000
5 Be 0.500 0.000 0.253
6 Be 0.500 0.000 0.747
7 Be 0.747 0.500 0.000
8 Co 0.500 0.500 0.500


Entry 11:
La3Tb6PrDy2 | PBE | relaxed

Values from the calculation:
ΔE_f in meV/atom: 18

a b c (Å): 6.273 6.273 11.951
angles (deg): 95.02 95.02 120.02
Fractional coordinates of all 12 atoms:
1 La 0.000 0.000 0.000
2 La 0.333 0.667 0.000
3 La 0.667 0.333 0.000
4 Tb 0.084 0.418 0.254
5 Tb 0.248 0.248 0.746
6 Tb 0.418 0.084 0.254
7 Tb 0.582 0.916 0.746
8 Tb 0.752 0.752 0.254
9 Tb 0.916 0.582 0.746
10 Pr 0.500 0.500 0.500
11 Dy 0.167 0.833 0.500
12 Dy 0.833 0.167 0.500


Entry 12:
KGa2Au2 | PBE | relaxed

Values from the calculation:
Polymorph energy (0 for the lowest one) in eV/atom: 0.000
ΔE_f in meV/atom: -317

a b c (Å): 4.761 4.761 10.170
angles (deg): 90.00 90.00 90.00
Fractional coordinates of all 10 atoms:
1 K 0.250 0.250 0.247
2 K 0.750 0.750 0.753
3 Ga 0.250 0.250 0.883
4 Ga 0.250 0.750 0.500
5 Ga 0.750 0.250 0.500
6 Ga 0.750 0.750 0.117
7 Au 0.250 0.250 0.624
8 Au 0.250 0.750 0.000
9 Au 0.750 0.250 0.000
10 Au 0.750 0.750 0.376